VASP calculation (PBEsol) on crystalline Na2FeOsC at its relaxed geometry.

a b c (Å): 4.5059 4.5059 3.9359
angles (deg): 90.00 90.00 90.00
Sites, in units of the cell vectors:
1 Na 0.0000 0.5000 0.0000
2 Na 0.5000 0.0000 0.0000
3 Fe 0.0000 0.0000 0.5000
4 Os 0.5000 0.5000 0.5000
5 C 0.5000 0.5000 0.0000

## Properties
DOS(E_F): 0.664 states/eV per atom
total magnetic moment: 3.64 μB/cell
raw total energy: -5.54 eV per atom

---

VASP calculation (PBEsol) on crystalline Na2YFeC at its relaxed geometry.

a b c (Å): 4.7813 4.7813 4.6835
angles (deg): 90.00 90.00 90.00
Sites, in units of the cell vectors:
1 Na 0.0000 0.5000 0.0000
2 Na 0.5000 0.0000 0.0000
3 Y 0.0000 0.0000 0.5000
4 Fe 0.5000 0.5000 0.5000
5 C 0.0000 0.0000 0.0000

## Properties
DOS(E_F): 1.027 states/eV per atom
total magnetic moment: 2.96 μB/cell
raw total energy: -4.65 eV per atom